No. 1
Sm2NbWN5 (PBE-GGA, optimized geometry); calculated volume = 235.22 Å³/cell; total moment = 0.0 μB/f.u.; uncorrected formation energy = -1.07 eV/atom; DFT total energy = -167.40 eV per cell; SG = Cmc2_1, No. 36
1.0
1.676 -6.658 0.000
1.676 6.658 0.000
0.000 0.000 10.537
Sm Nb W N
4 2 2 10
Cartesian
1.676 5.233 5.269
1.676 4.671 1.089
1.676 -4.671 6.358
1.676 -5.233 0.000
1.676 3.711 8.677
1.676 -3.711 3.408
1.676 0.364 2.834
1.676 -0.364 8.103
1.676 6.019 9.053
1.676 2.926 4.801
1.676 2.370 1.998
1.676 1.699 8.534
1.676 0.159 6.262
1.676 -0.159 0.993
1.676 -1.699 3.265
1.676 -2.370 7.267
1.676 -2.926 10.070
1.676 -6.019 3.785

=====

No. 2
Sm3Zr3NbN8 (PBE-GGA, optimized geometry); calculated volume = 214.54 Å³/cell; total moment = 0.0 μB/f.u.; uncorrected formation energy = -1.43 eV/atom; DFT total energy = -137.93 eV per cell; SG = R-3m, No. 166
1.0
3.302 1.906 5.681
-3.302 1.906 5.681
0.000 -3.813 5.681
Sm Zr Nb N
3 3 1 8
Cartesian
-1.651 -0.953 5.681
-1.651 0.953 11.362
0.000 1.906 5.681
-3.302 0.000 8.521
-1.651 0.953 2.840
1.651 0.953 2.840
0.000 0.000 8.521
0.000 0.000 4.105
-1.570 -0.906 9.709
0.000 -1.812 7.333
-1.570 0.906 7.333
1.570 -0.906 9.709
0.000 1.812 9.709
1.570 0.906 7.333
0.000 0.000 12.937

=====

No. 3
Nb2Sn4N (PBE-GGA, optimized geometry); calculated volume = 153.30 Å³/cell; total moment = 0.0 μB/f.u.; uncorrected formation energy = 0.64 eV/atom; DFT total energy = -39.99 eV per cell; SG = I4/mmm, No. 139
1.0
-2.408 2.408 6.612
2.408 -2.408 6.612
2.408 2.408 -6.612
Nb Sn N
2 4 1
Cartesian
0.000 0.000 1.621
0.000 0.000 11.603
2.408 0.000 0.000
0.000 0.000 4.420
0.000 2.408 0.000
0.000 0.000 8.805
0.000 0.000 6.612